The following is a PBE calculation of a geometry-optimized Co2SiGe structure, from Alexandria via LeMat-Bulk.

Unit cell a=2.7624 b=2.7624 c=6.1344 alpha=90.00 beta=90.00 gamma=90.00
Closest atoms and distances in Å follow each position.
Positions (direct):
Co 0.0000 0.0000 0.2220  4 Si 2.38, 4 Ge 2.59
Co 0.0000 0.0000 0.7780  4 Si 2.38, 4 Ge 2.59
Si 0.5000 0.5000 0.0000  8 Co 2.38
Ge 0.5000 0.5000 0.5000  8 Co 2.59, 4 Ge 2.76

Values from the calculation:
Size of the total moment: 0.90 μB per formula unit
Formation energy without anion corrections: -0.24 eV per atom
E above lowest polymorph: 147 meV per atom
E_tot: -25.226 eV/cell

---

The following is a PBE calculation of a geometry-optimized Co5SiGe structure, from Alexandria via LeMat-Bulk.

Unit cell a=3.8981 b=3.8981 c=5.4255 alpha=90.00 beta=90.00 gamma=90.00
Closest atoms and distances in Å follow each position.
Positions (direct):
Co 0.0000 0.0000 0.0000  8 Co 2.42
Co 0.0000 0.5000 0.2645  2 Si 2.33, 2 Ge 2.42, 3 Co 2.42-2.55
Co 0.0000 0.5000 0.7355  2 Si 2.33, 2 Ge 2.42, 3 Co 2.42-2.55
Co 0.5000 0.0000 0.2645  2 Si 2.33, 2 Ge 2.42, 3 Co 2.42-2.55
Co 0.5000 0.0000 0.7355  2 Si 2.33, 2 Ge 2.42, 3 Co 2.42-2.55
Si 0.0000 0.0000 0.5000  8 Co 2.33
Ge 0.5000 0.5000 0.0000  8 Co 2.42

Values from the calculation:
Size of the total moment: 3.71 μB per formula unit
Formation energy without anion corrections: -0.14 eV per atom
E_tot: -46.518 eV/cell

---

Question: Number 2 is which compound?
Answer: Co5SiGe

---

Question: The highest size of the total moment belongs to which entry?
Answer: Co5SiGe

---

Question: Which value of E_tot does entry 1 give?
Answer: -25.226 eV/cell

---

Question: Which value of E_tot does entry 1 give?
Answer: -25.226 eV/cell